Here is an optimized crystal structure of Tb2HoErBi5 from Alexandria. Energies are from PBE.

Calculated values
Total energy ... -4.1877 eV per atom
Density of states at the Fermi level ... 5.9 states/eV/cell
Energy of formation from the pure elements ... 13 meV per atom

Cell lengths 5.3966, 5.3966, 11.8104 Å; angles 90.00, 90.00, 90.00 degrees
With the nearest neighbours (Å) after each atom.
Atoms (fractional coordinates):
Tb1 0.5000 0.5000 0.2707  1 Bi 3.20
Tb2 0.5000 0.5000 0.7293  1 Bi 3.20
Er1 0.0000 0.0000 0.0000  2 Bi 2.90
Bi1 0.5000 0.5000 0.0000  2 Tb 3.20
Bi2 0.0000 0.0000 0.2454  1 Er 2.90, 1 Ho 3.01
Bi3 0.0000 0.0000 0.7546  1 Er 2.90, 1 Ho 3.01
Bi4 0.0000 0.5000 0.5000  2 Ho 2.70
Bi5 0.5000 0.0000 0.5000  2 Ho 2.70
Ho1 0.0000 0.0000 0.5000  6 Bi 2.70-3.01

Here is an optimized crystal structure of Tl2SiAg from Alexandria. Energies are from PBE.

Calculated values
Total energy ... -2.8441 eV per atom
Formation energy from raw total energies ... 1.6 eV/f.u.
Density of states at the Fermi level ... 1.9 states/eV/cell

Cell lengths 5.3486, 5.3486, 5.3486 Å; angles 127.43, 127.43, 77.54 degrees
With the nearest neighbours (Å) after each atom.
Atoms (fractional coordinates):
Tl1 0.5000 0.5000 0.0000  4 Ag 3.16, 4 Si 3.16, 4 Tl 3.35
Tl2 0.0000 0.0000 0.0000  4 Si 3.16, 4 Ag 3.16, 4 Tl 3.35
Si1 0.7500 0.2500 0.5000  8 Tl 3.16, 4 Ag 3.35
Ag1 0.2500 0.7500 0.5000  8 Tl 3.16, 4 Si 3.35

Here is an optimized crystal structure of NdMn2PN from Alexandria. Energies are from PBE.

Calculated values
Total energy ... -8.2749 eV per atom
Formation energy from raw total energies ... -4.5 eV/f.u.
Density of states at the Fermi level ... 7.0 states/eV/cell

Cell lengths 3.7232, 5.5774, 6.8731 Å; angles 90.00, 90.00, 109.50 degrees
With the nearest neighbours (Å) after each atom.
Atoms (fractional coordinates):
Mn1 0.1702 0.3404 0.9431  1 N 1.83
Mn2 0.8298 0.6596 0.0569  1 N 1.83
Mn3 0.8298 0.6596 0.4431  1 N 1.83
Mn4 0.1702 0.3404 0.5569  1 N 1.83
Nd1 0.4552 0.9105 0.7500  4 N 2.58
Nd2 0.5448 0.0895 0.2500  4 N 2.58
P1 0.7309 0.4618 0.7500  6 Mn 2.35-2.37
P2 0.2691 0.5382 0.2500  6 Mn 2.35-2.37
N1 0.0000 0.0000 0.5000  2 Mn 1.83
N2 0.0000 0.0000 0.0000  2 Mn 1.83

Here is an optimized crystal structure of NaV2Os from Alexandria. Energies are from PBE.

Calculated values
Total energy ... -6.7710 eV per atom
Density of states at the Fermi level ... 9.9 states/eV/cell
Energy of formation from the pure elements ... 926 meV per atom

Cell lengths 7.0750, 7.0750, 5.7161 Å; angles 51.77, 51.77, 90.00 degrees
With the nearest neighbours (Å) after each atom.
Atoms (fractional coordinates):
V1 0.6704 0.1250 0.2500  2 Os 2.39
V2 0.8750 0.9204 0.7500  2 Os 2.39
V3 0.3750 0.3296 0.7500  2 Os 2.39
V4 0.0796 0.6250 0.2500  2 Os 2.39
Os1 0.7500 0.2500 0.5000  4 V 2.39
Os2 0.0000 0.0000 0.0000  4 V 2.39
Na1 0.2500 0.7500 0.5000  2 Os 2.77, 8 V 2.82-3.09
Na2 0.5000 0.5000 0.0000  2 Os 2.77, 8 V 2.82-3.09

no.,calculated density (Mg/m³)
1,8.18
2,9.67
3,7.38
4,7.56